Entry 1:
A geometry-optimized CsPu2CuS4 structure, computed with PBE-GGA. Values from VASP.

Values from the calculation:
Size of the total moment (μB/f.u.): 10.00
Space group: No. 63
Energy relative to the elements, uncorrected (eV per atom): -1.394

Geometry as Quantum ESPRESSO input:
```
&SYSTEM
  ibrav = 0, nat = 16, ntyp = 4
/
ATOMIC_SPECIES
Cs 132.91 Cs.upf
Pu 244.00 Pu.upf
Cu 63.55 Cu.upf
S 32.06 S.upf
ATOMIC_POSITIONS crystal
Cs 0.103 0.897 0.750
Cs 0.897 0.103 0.250
Pu 0.366 0.634 0.558
Pu 0.366 0.634 0.942
Pu 0.634 0.366 0.058
Pu 0.634 0.366 0.442
Cu 0.169 0.831 0.250
Cu 0.831 0.169 0.750
S 0.000 0.000 0.000
S 0.000 0.000 0.500
S 0.255 0.745 0.106
S 0.255 0.745 0.394
S 0.414 0.586 0.750
S 0.586 0.414 0.250
S 0.745 0.255 0.606
S 0.745 0.255 0.894
CELL_PARAMETERS angstrom
2.023 -7.079 0.000
2.023 7.079 0.000
0.000 0.000 13.827
```


Entry 2:
A geometry-optimized TlPdAu3 structure, computed with PBE-GGA. Values from VASP.

Values from the calculation:
Size of the total moment (μB/f.u.): 0.00
E_form (eV/atom): 0.428
Space group: No. 221
Relative energy among the computed polymorphs (kJ/mol of atoms): 41.3

Geometry as Quantum ESPRESSO input:
```
&SYSTEM
  ibrav = 0, nat = 5, ntyp = 3
/
ATOMIC_SPECIES
Tl 204.38 Tl.upf
Pd 106.42 Pd.upf
Au 196.97 Au.upf
ATOMIC_POSITIONS crystal
Tl 0.000 0.000 0.000
Pd 0.500 0.500 0.500
Au 0.000 0.500 0.500
Au 0.500 0.000 0.500
Au 0.500 0.500 0.000
CELL_PARAMETERS angstrom
5.125 0.000 0.000
0.000 5.125 0.000
0.000 0.000 5.125
```


Entry 3:
A geometry-optimized BaCaPt2 structure, computed with PBE-GGA. Values from VASP.

Values from the calculation:
Size of the total moment (μB/f.u.): 0.00
E_form (eV/atom): -0.660
Space group: No. 123
Relative energy among the computed polymorphs (kJ/mol of atoms): 8.6

Geometry as Quantum ESPRESSO input:
```
&SYSTEM
  ibrav = 0, nat = 4, ntyp = 3
/
ATOMIC_SPECIES
Ba 137.33 Ba.upf
Ca 40.08 Ca.upf
Pt 195.08 Pt.upf
ATOMIC_POSITIONS crystal
Ba 0.000 0.000 0.000
Ca 0.500 0.500 0.000
Pt 0.000 0.500 0.500
Pt 0.500 0.000 0.500
CELL_PARAMETERS angstrom
5.253 0.000 0.000
0.000 5.253 0.000
0.000 0.000 3.671
```


Entry 4:
A geometry-optimized ScGa2Cu2Ag structure, computed with PBE-GGA. Values from VASP.

Values from the calculation:
Size of the total moment (μB/f.u.): 0.00
E_form (eV/atom): -0.271
Space group: No. 164

Geometry as Quantum ESPRESSO input:
```
&SYSTEM
  ibrav = 0, nat = 6, ntyp = 4
/
ATOMIC_SPECIES
Sc 44.96 Sc.upf
Ga 69.72 Ga.upf
Cu 63.55 Cu.upf
Ag 107.87 Ag.upf
ATOMIC_POSITIONS crystal
Sc 0.000 0.000 0.000
Ga 0.333 0.667 0.742
Ga 0.667 0.333 0.258
Cu 0.333 0.667 0.260
Cu 0.667 0.333 0.740
Ag 0.000 0.000 0.500
CELL_PARAMETERS angstrom
4.275 0.000 0.000
-2.138 3.703 0.000
0.000 0.000 6.094
```


Entry 5:
A geometry-optimized OsRuPt2 structure, computed with PBE-GGA. Values from VASP.

Values from the calculation:
Size of the total moment (μB/f.u.): 0.00
E_form (eV/atom): 0.057
Space group: No. 8
Relative energy among the computed polymorphs (kJ/mol of atoms): 6.5

Geometry as Quantum ESPRESSO input:
```
&SYSTEM
  ibrav = 0, nat = 4, ntyp = 3
/
ATOMIC_SPECIES
Os 190.23 Os.upf
Ru 101.07 Ru.upf
Pt 195.08 Pt.upf
ATOMIC_POSITIONS crystal
Os 0.000 0.000 0.000
Ru 0.742 0.742 0.224
Pt 0.249 0.249 0.741
Pt 0.494 0.494 0.487
CELL_PARAMETERS angstrom
4.594 -1.365 0.000
4.594 1.365 0.000
-0.791 0.000 4.725
```


Entry 6:
A geometry-optimized CsNaU2Te4 structure, computed with PBE-GGA. Values from VASP.

Values from the calculation:
Size of the total moment (μB/f.u.): 6.00
Space group: No. 63
Energy relative to the elements, uncorrected (eV per atom): -0.697

Geometry as Quantum ESPRESSO input:
```
&SYSTEM
  ibrav = 0, nat = 16, ntyp = 4
/
ATOMIC_SPECIES
Cs 132.91 Cs.upf
Na 22.99 Na.upf
U 238.03 U.upf
Te 127.60 Te.upf
ATOMIC_POSITIONS crystal
Cs 0.118 0.882 0.750
Cs 0.882 0.118 0.250
Na 0.174 0.826 0.250
Na 0.826 0.174 0.750
U 0.373 0.627 0.562
U 0.373 0.627 0.938
U 0.627 0.373 0.062
U 0.627 0.373 0.438
Te 0.000 0.000 0.000
Te 0.000 0.000 0.500
Te 0.263 0.737 0.096
Te 0.263 0.737 0.404
Te 0.434 0.566 0.750
Te 0.566 0.434 0.250
Te 0.737 0.263 0.596
Te 0.737 0.263 0.904
CELL_PARAMETERS angstrom
2.338 -7.660 0.000
2.338 7.660 0.000
0.000 0.000 16.545
```


Entry 7:
A geometry-optimized SrAgI structure, computed with PBE-GGA. Values from VASP.

Values from the calculation:
Size of the total moment (μB/f.u.): 0.00
Space group: No. 12
Energy relative to the elements, uncorrected (eV per atom): -0.936
Relative energy among the computed polymorphs (kJ/mol of atoms): 0.0

Geometry as Quantum ESPRESSO input:
```
&SYSTEM
  ibrav = 0, nat = 6, ntyp = 3
/
ATOMIC_SPECIES
Sr 87.62 Sr.upf
Ag 107.87 Ag.upf
I 126.90 I.upf
ATOMIC_POSITIONS crystal
Sr 0.058 0.058 0.178
Sr 0.942 0.942 0.822
Ag 0.335 0.335 0.001
Ag 0.665 0.665 0.999
I 0.223 0.223 0.667
I 0.777 0.777 0.333
CELL_PARAMETERS angstrom
4.252 -2.416 0.000
4.252 2.416 0.000
-2.750 0.000 11.374
```


Entry 8:
A geometry-optimized AsIr3Br structure, computed with PBE-GGA. Values from VASP.

Values from the calculation:
Size of the total moment (μB/f.u.): 0.19
Space group: No. 221
Energy relative to the elements, uncorrected (eV per atom): 1.944
Relative energy among the computed polymorphs (kJ/mol of atoms): 52.1

Geometry as Quantum ESPRESSO input:
```
&SYSTEM
  ibrav = 0, nat = 5, ntyp = 3
/
ATOMIC_SPECIES
As 74.92 As.upf
Ir 192.22 Ir.upf
Br 79.90 Br.upf
ATOMIC_POSITIONS crystal
As 0.000 0.000 0.000
Ir 0.000 0.500 0.500
Ir 0.500 0.000 0.500
Ir 0.500 0.500 0.000
Br 0.500 0.500 0.500
CELL_PARAMETERS angstrom
4.645 0.000 0.000
0.000 4.645 0.000
0.000 0.000 4.645
```


> Number 1 is which compound?

CsPu2CuS4